This record from Alexandria via LeMat-Bulk describes an optimized crystal structure of Al4Zn10W. The functional is PBE.

Unit cell a=6.591 b=7.223 c=7.223 alpha=77.98 beta=62.85 gamma=62.85
Element x y z (fractional)
Al 0.433 0.834 0.300
Al 0.733 0.700 0.834
Al 0.267 0.300 0.166
Al 0.567 0.166 0.700
Zn 0.250 0.500 0.500
Zn 0.693 0.335 0.890
Zn 0.972 0.110 0.335
Zn 0.417 0.890 0.665
Zn 0.918 0.665 0.110
Zn 0.307 0.665 0.110
Zn 0.750 0.500 0.500
Zn 0.082 0.335 0.890
Zn 0.583 0.110 0.335
Zn 0.028 0.890 0.665
W 0.000 0.000 0.000

Summary:
**DOS at the Fermi energy**: 8.5 states/eV per cell

This record from Alexandria via LeMat-Bulk describes an optimized crystal structure of Ac3SmPb12. The functional is PBE.

Unit cell a=5.048 b=5.048 c=19.932 alpha=90.00 beta=90.00 gamma=90.00
Element x y z (fractional)
Ac 0.000 0.000 0.245
Ac 0.000 0.000 0.500
Ac 0.000 0.000 0.755
Sm 0.000 0.000 0.000
Pb 0.500 0.500 0.000
Pb 0.500 0.500 0.246
Pb 0.500 0.500 0.500
Pb 0.500 0.500 0.754
Pb 0.500 0.000 0.118
Pb 0.500 0.000 0.373
Pb 0.500 0.000 0.627
Pb 0.500 0.000 0.882
Pb 0.000 0.500 0.118
Pb 0.000 0.500 0.373
Pb 0.000 0.500 0.627
Pb 0.000 0.500 0.882

Summary:
**DOS at the Fermi energy**: 7.1 states/eV per cell

This record from Alexandria via LeMat-Bulk describes an optimized crystal structure of CrHgRh2. The functional is PBE.

Unit cell a=6.998 b=6.998 c=5.657 alpha=51.79 beta=51.79 gamma=90.00
Element x y z (fractional)
Cr 0.500 0.500 0.000
Cr 0.250 0.750 0.500
Rh 0.563 0.125 0.250
Rh 0.187 0.625 0.250
Rh 0.375 0.437 0.750
Rh 0.875 0.813 0.750
Hg 0.000 0.000 0.000
Hg 0.750 0.250 0.500

Summary:
**DOS at the Fermi energy**: 4.9 states/eV per cell

This record from Alexandria via LeMat-Bulk describes an optimized crystal structure of Ac2CuAu. The functional is PBE.

Unit cell a=3.870 b=5.468 c=5.468 alpha=90.00 beta=90.00 gamma=90.00
Element x y z (fractional)
Ac 0.000 0.000 0.500
Ac 0.000 0.500 0.000
Au 0.500 0.500 0.500
Cu 0.500 0.000 0.000

Summary:
**DOS at the Fermi energy**: 2.4 states/eV per cell

Summary of DFT formation energy in eV/f.u.
5.1 -6.4 1.7 -1.7
(order as listed above)